VASP calculation (PBE) on an optimized crystal structure of Y2Fe2BrCl.

Geometry as POSCAR:
```
Y2Fe2BrCl
1.0
3.843 0.000 0.000
-1.921 3.328 0.000
0.000 0.000 11.420
Y Fe Br Cl
2 2 1 1
Direct
0.000 0.000 0.000
0.000 0.000 0.350
0.333 0.667 0.181
0.667 0.333 0.168
0.333 0.667 0.831
0.667 0.333 0.501
```

Computed properties:
Size of the total moment ... 1.9 μB per formula unit
Final energy ... -0.2402 hartree per atom
Space group ... P3m1 (156)
Crystal system ... trigonal